1.
# Cs2TiCu

A relaxed structure of Cs2TiCu (PBE, Alexandria via LeMat-Bulk).

Unit cell a=6.3937 b=6.3937 c=6.3937 alpha=60.00 beta=60.00 gamma=60.00
Fractional coordinates of all 4 atoms:
Cs 0.2500 0.2500 0.2500
Cs 0.7500 0.7500 0.7500
Cu 0.5000 0.5000 0.5000
Ti 0.0000 0.0000 0.0000

Output
Space group: No. 225
Total DFT energy (no corrections) (eV per atom): -2.221
Formation enthalpy at 0 K (eV per atom): 1.20
Total magnetic moment (μB/f.u.): 3.01



2.
# CsTiCu3

A relaxed structure of CsTiCu3 (PBE, Alexandria via LeMat-Bulk).

Unit cell a=5.1035 b=5.1035 c=5.1035 alpha=90.00 beta=90.00 gamma=90.00
Fractional coordinates of all 5 atoms:
Cs 0.5000 0.5000 0.5000
Cu 0.0000 0.5000 0.0000
Cu 0.0000 0.0000 0.5000
Cu 0.5000 0.0000 0.0000
Ti 0.0000 0.0000 0.0000

Output
Space group: No. 221
Total DFT energy (no corrections) (eV per atom): -3.344
Formation enthalpy at 0 K (eV per atom): 0.86
Excess energy over the best structure of this formula in the dataset (meV/atom): 0
Total magnetic moment (μB/f.u.): 1.65